# 1
Entry from Alexandria via LeMat-Bulk: a geometry-optimized ZrNi2TeH structure (PBE).

Values from the calculation:
**Calculated total energy**: -4.260 eV per atom
**Density of states at the Fermi level**: 5.80 states/eV per cell

Lattice parameters (Å, degrees): 4.560 4.560 5.500 90.00 90.00 90.00
Space group P4/mmm (No. 123)
Asymmetric unit:
Zr 0.000 0.000 0.000
Ni 0.000 0.500 0.500
Te 0.000 0.000 0.500
H 0.500 0.500 0.000



# 2
Entry from Alexandria via LeMat-Bulk: a geometry-optimized Sm2AsPt3 structure (PBE).

Values from the calculation:
**Calculated total energy**: -6.451 eV per atom
**Density of states at the Fermi level**: 3.18 states/eV per cell
**Formation energy**: -25.0 kcal/mol of atoms

Lattice parameters (Å, degrees): 3.783 4.389 7.752 90.00 90.00 90.00
Space group Pmm2 (No. 25)
Asymmetric unit:
Sm 0.000 0.000 0.000
Sm 0.000 0.500 0.478
As 0.500 0.500 0.811
Pt 0.500 0.000 0.328
Pt 0.500 0.000 0.674
Pt 0.500 0.500 0.132



# 3
Entry from Alexandria via LeMat-Bulk: a geometry-optimized Zr2CdBIr structure (PBE).

Values from the calculation:
**Calculated total energy**: -6.459 eV per atom
**Density of states at the Fermi level**: 6.31 states/eV per cell
**Formation energy**: 5.8 kcal/mol of atoms

Lattice parameters (Å, degrees): 5.166 5.166 4.033 90.00 90.00 90.00
Space group P4/mmm (No. 123)
Asymmetric unit:
Zr 0.000 0.500 0.000
Cd 0.000 0.000 0.500
B 0.500 0.500 0.500
Ir 0.500 0.500 0.000



# 4
Entry from Alexandria via LeMat-Bulk: a geometry-optimized NdTmGaNi structure (PBE).

Values from the calculation:
**Calculated total energy**: -4.906 eV per atom
**Density of states at the Fermi level**: 16.10 states/eV per cell
**Formation energy**: -9.1 kcal/mol of atoms

Lattice parameters (Å, degrees): 7.060 7.060 7.060 90.00 90.00 90.00
Space group F-43m (No. 216)
Asymmetric unit:
Nd 0.000 0.000 0.000
Tm 0.000 0.000 0.500
Ga 0.250 0.250 0.750
Ni 0.250 0.250 0.250



# 5
Entry from Alexandria via LeMat-Bulk: a geometry-optimized ZrMnW2 structure (PBE).

Values from the calculation:
**Calculated total energy**: -10.720 eV per atom
**Density of states at the Fermi level**: 3.74 states/eV per cell
**Distance to the lowest polymorph of the same formula**: 120 meV per atom
**Formation energy**: 4.3 kcal/mol of atoms

Lattice parameters (Å, degrees): 3.182 4.592 8.853 90.00 90.00 90.00
Space group Imm2 (No. 44)
Asymmetric unit:
Zr 0.000 0.000 0.000
Mn 0.000 0.500 0.752
W 0.000 0.000 0.488
W 0.000 0.500 0.234



# 6
Entry from Alexandria via LeMat-Bulk: a geometry-optimized CaTl6Pd6 structure (PBE).

Values from the calculation:
**Calculated total energy**: -3.904 eV per atom
**Density of states at the Fermi level**: 15.39 states/eV per cell
**Formation energy**: -6.0 kcal/mol of atoms

Lattice parameters (Å, degrees): 5.728 9.414 10.036 90.00 90.00 90.00
Space group Immm (No. 71)
Asymmetric unit:
Ca 0.000 0.000 0.000
Tl 0.000 0.000 0.338
Tl 0.000 0.335 0.000
Tl 0.000 0.500 0.328
Pd 0.000 0.260 0.500
Pd 0.250 0.250 0.250



# 7
Entry from Alexandria via LeMat-Bulk: a geometry-optimized BaTl3 structure (PBE).

Values from the calculation:
**Calculated total energy**: -2.466 eV per atom
**Density of states at the Fermi level**: 1.95 states/eV per cell
**Formation energy**: -4.9 kcal/mol of atoms

Lattice parameters (Å, degrees): 4.095 5.507 6.372 90.00 98.00 90.00
Space group P2/m (No. 10)
Asymmetric unit:
Ba 0.000 0.000 0.000
Tl 0.301 0.500 0.720
Tl 0.500 0.000 0.500



# 8
Entry from Alexandria via LeMat-Bulk: a geometry-optimized Mg2CdAs structure (PBE).

Values from the calculation:
**Calculated total energy**: -2.353 eV per atom
**Density of states at the Fermi level**: 2.63 states/eV per cell
**Distance to the lowest polymorph of the same formula**: 65 meV per atom
**Formation energy**: -3.8 kcal/mol of atoms

Lattice parameters (Å, degrees): 6.541 8.126 3.099 90.00 90.15 90.00
Space group C2/m (No. 12)
Asymmetric unit:
Mg 0.250 0.250 0.000
Cd 0.000 0.000 0.500
As 0.000 0.500 0.500



# 9
Entry from Alexandria via LeMat-Bulk: a geometry-optimized YIn2Ru structure (PBE).

Values from the calculation:
**Calculated total energy**: -5.397 eV per atom
**Density of states at the Fermi level**: 6.44 states/eV per cell
**Formation energy**: -2.1 kcal/mol of atoms

Lattice parameters (Å, degrees): 4.513 4.513 8.328 90.00 90.00 90.00
Space group I-4m2 (No. 119)
Asymmetric unit:
Y 0.000 0.000 0.000
In 0.000 0.000 0.500
In 0.000 0.500 0.750
Ru 0.000 0.500 0.250



# 10
Entry from Alexandria via LeMat-Bulk: a geometry-optimized Sn2PI structure (PBE).

Values from the calculation:
**Calculated total energy**: -3.881 eV per atom
**Density of states at the Fermi level**: 1.29 states/eV per cell
**Formation energy without anion corrections**: -0.1394 eV/atom
**Distance to the lowest polymorph of the same formula**: 0 meV per atom

Lattice parameters (Å, degrees): 4.2396 4.2396 22.9560 90.00 90.00 120.00
Space group R-3m (No. 166, hexagonal axes)
Asymmetric unit:
Sn 0.0000 0.0000 0.2300
P 0.0000 0.0000 0.5000
I 0.0000 0.0000 0.0000



# 11
Entry from Alexandria via LeMat-Bulk: a geometry-optimized Ce4Te2AsPb structure (PBE).

Values from the calculation:
**Calculated total energy**: -5.924 eV per atom
**Density of states at the Fermi level**: 26.35 states/eV per cell
**Formation energy without anion corrections**: -1.1271 eV/atom

Lattice parameters (Å, degrees): 7.702 4.453 7.728 90.00 109.50 90.00
Space group P2/m (No. 10)
Asymmetric unit:
Ce 0.232 0.000 0.233
Ce 0.242 0.500 0.759
Te 0.500 0.000 0.000
Te 0.500 0.500 0.500
As 0.000 0.500 0.000
Pb 0.000 0.000 0.500



# 12
Entry from Alexandria via LeMat-Bulk: a geometry-optimized YPt3Cl structure (PBE).

Values from the calculation:
**Calculated total energy**: -4.271 eV per atom
**Density of states at the Fermi level**: 0.60 states/eV per cell
**Formation energy without anion corrections**: 1.0160 eV/atom
**Distance to the lowest polymorph of the same formula**: 848 meV per atom

Lattice parameters (Å, degrees): 5.184 5.184 5.184 90.00 90.00 90.00
Space group Pm-3m (No. 221)
Asymmetric unit:
Y 0.000 0.000 0.000
Pt 0.000 0.000 0.500
Cl 0.500 0.500 0.500



# 13
Entry from Alexandria via LeMat-Bulk: a geometry-optimized Dy2ErNi2 structure (PBE).

Values from the calculation:
**Calculated total energy**: -5.401 eV per atom
**Density of states at the Fermi level**: 20.11 states/eV per cell
**Distance to the lowest polymorph of the same formula**: 0 meV per atom
**Formation energy**: -7.7 kcal/mol of atoms

Lattice parameters (Å, degrees): 11.413 5.704 7.086 90.00 100.67 90.00
Space group C2/c (No. 15)
Asymmetric unit:
Dy 0.160 0.110 0.155
Er 0.000 0.409 0.750
Ni 0.163 0.368 0.512



# 14
Entry from Alexandria via LeMat-Bulk: a geometry-optimized YCoPb2 structure (PBE).

Values from the calculation:
**Calculated total energy**: -5.254 eV per atom
**Density of states at the Fermi level**: 8.95 states/eV per cell
**Distance to the lowest polymorph of the same formula**: 0 meV per atom
**Formation energy**: -0.2 kcal/mol of atoms

Lattice parameters (Å, degrees): 4.4818 4.4818 16.1406 90.00 90.00 120.00
Space group R-3m (No. 166, hexagonal axes)
Asymmetric unit:
Y 0.0000 0.0000 0.0000
Co 0.0000 0.0000 0.5000
Pb 0.0000 0.0000 0.2268



# 15
Entry from Alexandria via LeMat-Bulk: a geometry-optimized Ca3HfBr structure (PBE).

Values from the calculation:
**Calculated total energy**: -3.381 eV per atom
**Density of states at the Fermi level**: 3.36 states/eV per cell
**Formation energy without anion corrections**: 0.1456 eV/atom
**Distance to the lowest polymorph of the same formula**: 0 meV per atom

Lattice parameters (Å, degrees): 5.560 5.560 5.560 90.00 90.00 90.00
Space group Pm-3m (No. 221)
Asymmetric unit:
Ca 0.000 0.000 0.500
Hf 0.500 0.500 0.500
Br 0.000 0.000 0.000



# 16
Entry from Alexandria via LeMat-Bulk: a geometry-optimized Ba4AgPt3 structure (PBE).

Values from the calculation:
**Calculated total energy**: -4.209 eV per atom
**Density of states at the Fermi level**: 2.23 states/eV per cell
**Formation energy**: -14.4 kcal/mol of atoms

Lattice parameters (Å, degrees): 4.449 4.819 11.870 90.00 90.00 90.00
Space group Pmm2 (No. 25)
Asymmetric unit:
Ba 0.000 0.000 0.000
Ba 0.000 0.500 0.262
Ba 0.500 0.000 0.476
Ba 0.500 0.500 0.768
Ag 0.000 0.000 0.691
Pt 0.000 0.500 0.555
Pt 0.500 0.000 0.203
Pt 0.500 0.500 0.049



# 17
Entry from Alexandria via LeMat-Bulk: a geometry-optimized Ho6Ga2Ru structure (PBE).

Values from the calculation:
**Calculated total energy**: -5.033 eV per atom
**Density of states at the Fermi level**: 15.93 states/eV per cell
**Formation energy**: -6.4 kcal/mol of atoms

Lattice parameters (Å, degrees): 4.923 6.956 14.453 90.00 90.00 90.00
Space group Immm (No. 71)
Asymmetric unit:
Ho 0.000 0.237 0.000
Ho 0.000 0.255 0.341
Ga 0.000 0.500 0.168
Ru 0.000 0.500 0.500



# 18
Entry from Alexandria via LeMat-Bulk: a geometry-optimized YZnMo3 structure (PBE).

Values from the calculation:
**Calculated total energy**: -6.769 eV per atom
**Density of states at the Fermi level**: 7.19 states/eV per cell
**Distance to the lowest polymorph of the same formula**: 0 meV per atom
**Formation energy**: 29.5 kcal/mol of atoms

Lattice parameters (Å, degrees): 4.688 4.688 4.688 90.00 90.00 90.00
Space group Pm-3m (No. 221)
Asymmetric unit:
Y 0.000 0.000 0.000
Zn 0.500 0.500 0.500
Mo 0.000 0.500 0.500



# 19
Entry from Alexandria via LeMat-Bulk: a geometry-optimized Ac2La3Hg3 structure (PBE).

Values from the calculation:
**Calculated total energy**: -3.316 eV per atom
**Density of states at the Fermi level**: 20.92 states/eV per cell
**Formation energy**: -7.6 kcal/mol of atoms

Lattice parameters (Å, degrees): 4.006 5.753 23.450 90.00 90.00 90.00
Space group Immm (No. 71)
Asymmetric unit:
Ac 0.000 0.000 0.228
La 0.000 0.000 0.000
La 0.000 0.500 0.117
Hg 0.000 0.000 0.500
Hg 0.000 0.500 0.388



# 20
Entry from Alexandria via LeMat-Bulk: a geometry-optimized Th6Ge2IrSe3 structure (PBE).

Values from the calculation:
**Calculated total energy**: -7.321 eV per atom
**Density of states at the Fermi level**: 17.78 states/eV per cell
**Formation energy without anion corrections**: -1.2323 eV/atom

Lattice parameters (Å, degrees): 18.545 4.206 8.626 90.00 102.44 90.00
Space group C2/m (No. 12)
Asymmetric unit:
Th 0.001 0.000 0.229
Th 0.160 0.500 0.087
Th 0.169 0.500 0.578
Ge 0.166 0.000 0.335
Ir 0.000 0.500 0.000
Se 0.000 0.500 0.500
Se 0.170 0.000 0.834



# 21
Entry from Alexandria via LeMat-Bulk: a geometry-optimized CrSe2N2 structure (PBE).

Values from the calculation:
**Calculated total energy**: -4.853 eV per atom
**Density of states at the Fermi level**: 7.43 states/eV per cell
**Formation energy without anion corrections**: 1.7956 eV/atom
**Distance to the lowest polymorph of the same formula**: 2053 meV per atom

Lattice parameters (Å, degrees): 3.628 3.628 7.147 90.00 90.00 90.00
Space group P4/mmm (No. 123)
Asymmetric unit:
Cr 0.000 0.000 0.000
Se 0.500 0.500 0.000
Se 0.500 0.500 0.500
N 0.000 0.500 0.500



# 22
Entry from Alexandria via LeMat-Bulk: a geometry-optimized Pr6Te3AsPb2 structure (PBE).

Values from the calculation:
**Calculated total energy**: -5.380 eV per atom
**Density of states at the Fermi level**: 5.35 states/eV per cell
**Formation energy without anion corrections**: -1.1991 eV/atom

Lattice parameters (Å, degrees): 19.766 4.526 9.092 90.00 103.42 90.00
Space group C2/m (No. 12)
Asymmetric unit:
Pr 0.001 0.000 0.231
Pr 0.159 0.500 0.083
Pr 0.167 0.500 0.579
Te 0.000 0.500 0.500
Te 0.168 0.000 0.834
As 0.000 0.500 0.000
Pb 0.166 0.000 0.332



# 23
Entry from Alexandria via LeMat-Bulk: a geometry-optimized Li2Pu2Rh3 structure (PBE).

Values from the calculation:
**Calculated total energy**: -7.951 eV per atom
**Density of states at the Fermi level**: 17.74 states/eV per cell
**Distance to the lowest polymorph of the same formula**: 124 meV per atom
**Formation energy**: -3.7 kcal/mol of atoms

Lattice parameters (Å, degrees): 10.806 3.138 6.518 90.00 96.04 90.00
Space group C2/m (No. 12)
Asymmetric unit:
Li 0.053 0.000 0.190
Pu 0.213 0.000 0.616
Rh 0.000 0.500 0.500
Rh 0.150 0.500 0.912



# 24
Entry from Alexandria via LeMat-Bulk: a geometry-optimized PrPuCuO6 structure (PBE).

Values from the calculation:
**Calculated total energy**: -7.815 eV per atom
**Density of states at the Fermi level**: 8.22 states/eV per cell
**Formation energy without anion corrections**: -1.9306 eV/atom

Lattice parameters (Å, degrees): 5.7938 5.7938 4.4510 90.00 90.00 120.00
Space group P312 (No. 149)
Asymmetric unit:
Pr 0.0000 0.0000 0.0000
Pu 0.6667 0.3333 0.0000
Cu 0.3333 0.6667 0.5000
O 0.3791 0.0309 0.7590



# 25
Entry from Alexandria via LeMat-Bulk: a geometry-optimized RbUOsO6 structure (PBE).

Values from the calculation:
**Calculated total energy**: -8.027 eV per atom
**Density of states at the Fermi level**: 13.28 states/eV per cell
**Formation energy without anion corrections**: -2.1124 eV/atom

Lattice parameters (Å, degrees): 7.299 7.880 10.717 90.00 90.00 90.00
Space group Imma (No. 74)
Asymmetric unit:
Rb 0.000 0.250 0.112
U 0.000 0.000 0.500
Os 0.250 0.250 0.750
O 0.000 0.250 0.423
O 0.000 0.250 0.787
O 0.207 0.073 0.622



# 26
Entry from Alexandria via LeMat-Bulk: a geometry-optimized ReBiRu2 structure (PBE).

Values from the calculation:
**Calculated total energy**: -7.944 eV per atom
**Density of states at the Fermi level**: 14.74 states/eV per cell
**Distance to the lowest polymorph of the same formula**: 0 meV per atom
**Formation energy**: 17.9 kcal/mol of atoms

Lattice parameters (Å, degrees): 6.483 6.483 6.483 90.00 90.00 90.00
Space group Fm-3m (No. 225)
Asymmetric unit:
Re 0.000 0.000 0.000
Bi 0.000 0.000 0.500
Ru 0.250 0.250 0.250